Record 1
Density functional theory data (PBE) for crystalline Cs2RbAu3 at its relaxed geometry.

Unit cell a=16.859 b=16.859 c=16.859 alpha=90.00 beta=90.00 gamma=90.00
Space group Fd-3m (No. 227, origin choice 2)
Inequivalent atoms, fractional coordinates:
Cs 0.015 0.015 0.235
Rb 0.000 0.000 0.500
Au 0.108 0.375 0.875

Values from the calculation:
Energy of formation from the pure elements = -0.2415 eV/atom
Crystal system = cubic
Offset from the most stable computed form = 66 meV/atom
Volume = 4791.4 Å³ per cell

=====

Record 2
Density functional theory data (PBE) for crystalline CaNi2H at its relaxed geometry.

Unit cell a=6.024 b=6.024 c=6.024 alpha=90.00 beta=90.00 gamma=90.00
Space group Fm-3m (No. 225)
Inequivalent atoms, fractional coordinates:
Ca 0.000 0.000 0.000
Ni 0.250 0.250 0.250
H 0.000 0.000 0.500

Values from the calculation:
Crystal system = cubic
Offset from the most stable computed form = 965 meV/atom
Volume = 218.6 Å³ per cell

=====

Record 3
Density functional theory data (PBE) for crystalline Pu2ThTl3Se6 at its relaxed geometry.

Unit cell a=7.430 b=12.866 c=8.132 alpha=90.00 beta=107.70 gamma=90.00
Space group C2/m (No. 12)
Inequivalent atoms, fractional coordinates:
Pu 0.000 0.166 0.000
Th 0.000 0.500 0.000
Tl 0.000 0.000 0.500
Tl 0.000 0.331 0.500
Se 0.234 0.334 0.206
Se 0.238 0.000 0.208

Values from the calculation:
Crystal system = monoclinic
Calculated total energy = -156.368 eV/cell
Volume = 740.5 Å³ per cell

=====

Record 4
Density functional theory data (PBE) for crystalline In2Ga6Pb at its relaxed geometry.

Unit cell a=7.6936 b=7.6936 c=4.1025 alpha=90.00 beta=90.00 gamma=120.00
Space group P6/mmm (No. 191)
Inequivalent atoms, fractional coordinates:
In 0.3333 0.6667 0.0000
Ga 0.0000 0.3347 0.5000
Pb 0.0000 0.0000 0.0000

Values from the calculation:
Energy of formation from the pure elements = 0.0551 eV/atom
Crystal system = hexagonal
Offset from the most stable computed form = 0 meV/atom
Volume = 210.3 Å³ per cell

=====

Record 5
Density functional theory data (PBE) for crystalline MnFeCl2 at its relaxed geometry.

Unit cell a=6.338 b=6.346 c=3.135 alpha=90.00 beta=90.00 gamma=90.00
Space group Cmmm (No. 65)
Inequivalent atoms, fractional coordinates:
Mn 0.000 0.000 0.000
Fe 0.000 0.500 0.000
Cl 0.250 0.250 0.500

Values from the calculation:
Crystal system = orthorhombic
Offset from the most stable computed form = 581 meV/atom
Volume = 126.1 Å³ per cell

=====

Record 6
Density functional theory data (PBE) for crystalline VRhI2N at its relaxed geometry.

Unit cell a=5.415 b=5.415 c=3.616 alpha=90.00 beta=90.00 gamma=90.00
Space group P4/mmm (No. 123)
Inequivalent atoms, fractional coordinates:
V 0.000 0.000 0.000
Rh 0.500 0.500 0.500
I 0.000 0.500 0.000
N 0.000 0.000 0.500

Values from the calculation:
Crystal system = tetragonal
Offset from the most stable computed form = 0 meV/atom
Volume = 106.0 Å³ per cell